Entry from the Alexandria database: Nb2Se3S after structural relaxation (PBE).

a b c (Å): 3.4515 3.4515 27.9084
angles (deg): 90.00 90.00 120.00
Fractional positions:
Se 0.3333 0.6667 0.5599
Se 0.3333 0.6667 0.0615
S 0.6667 0.3333 0.1918
Se 0.6667 0.3333 0.6896
Se 0.6667 0.3333 0.8111
Se 0.3333 0.6667 0.4384
Nb 0.3333 0.6667 0.2468
Nb 0.6667 0.3333 0.4991
Se 0.3333 0.6667 0.9400
Nb 0.3333 0.6667 0.7504
S 0.6667 0.3333 0.3019
Nb 0.6667 0.3333 0.0008

Calculated values
Space-group type: P3m1
Formation energy (no corrections): -86.18 kJ per mole of atoms
Theoretical density: 5.25 Mg/m³
DFT total energy: -40.08 eV/f.u.
E above lowest polymorph: 0 meV/atom